# 1
First-principles (PBE) data for crystalline SmDySb2 at its relaxed geometry, as listed in the Alexandria database.

Cell: 4.397 4.397 7.923 Å, 73.89 73.89 60.00°
Sites, in units of the cell vectors:
Sm: 0.669 0.669 0.993
Dy: 0.498 0.498 0.506
Sb: 0.084 0.084 0.749
Sb: 0.249 0.249 0.252

Properties
Fermi-level density of states	0.42	states/eV/cell


# 2
First-principles (PBE) data for crystalline Sm4DySb5 at its relaxed geometry, as listed in the Alexandria database.

Cell: 4.455 4.455 16.052 Å, 97.98 97.98 90.00°
Sites, in units of the cell vectors:
Sm: 0.400 0.400 0.801
Sm: 0.800 0.800 0.601
Sm: 0.200 0.200 0.399
Sm: 0.600 0.600 0.199
Dy: 0.000 0.000 0.000
Sb: 0.099 0.099 0.198
Sb: 0.500 0.500 0.000
Sb: 0.901 0.901 0.802
Sb: 0.300 0.300 0.600
Sb: 0.700 0.700 0.400

Properties
Fermi-level density of states	1.17	states/eV/cell


# 3
First-principles (PBE) data for crystalline Sm3DySb2 at its relaxed geometry, as listed in the Alexandria database.

Cell: 4.378 10.435 9.961 Å, 124.79 90.00 102.11°
Sites, in units of the cell vectors:
Sm: 0.312 0.624 0.516
Sm: 0.946 0.892 0.569
Sm: 0.649 0.297 0.823
Sm: 0.351 0.703 0.177
Sm: 0.054 0.108 0.431
Sm: 0.688 0.376 0.484
Dy: 0.890 0.780 0.896
Dy: 0.110 0.220 0.104
Sb: 0.493 0.986 0.834
Sb: 0.507 0.014 0.166
Sb: 0.750 0.499 0.225
Sb: 0.250 0.501 0.775

Properties
Fermi-level density of states	15.56	states/eV/cell


# 4
First-principles (PBE) data for crystalline Sm4DySb5 at its relaxed geometry, as listed in the Alexandria database.

Cell: 6.302 7.716 7.716 Å, 80.40 65.90 65.90°
Sites, in units of the cell vectors:
Sm: 0.402 0.399 0.799
Sm: 0.801 0.799 0.601
Sm: 0.201 0.201 0.399
Sm: 0.600 0.601 0.201
Dy: 0.001 0.000 0.000
Sb: 0.902 0.396 0.802
Sb: 0.298 0.802 0.604
Sb: 0.704 0.198 0.396
Sb: 0.100 0.604 0.198
Sb: 0.501 0.000 0.000

Properties
Fermi-level density of states	1.51	states/eV/cell


# 5
First-principles (PBE) data for crystalline SmDy2Sb at its relaxed geometry, as listed in the Alexandria database.

Cell: 4.010 4.010 9.830 Å, 78.23 78.23 60.00°
Last column: magnetic moment on the atom in μB.
Sites, in units of the cell vectors:
Sm: 0.500 0.500 0.499  0.17
Dy: 0.067 0.067 0.798  0.17
Dy: 0.266 0.266 0.202  0.05
Sb: 0.666 0.666 0.001  0.00

Properties
Fermi-level density of states	4.29	states/eV/cell


# 6
First-principles (PBE) data for crystalline Sm2DySb at its relaxed geometry, as listed in the Alexandria database.

Cell: 4.593 4.573 11.716 Å, 90.00 101.29 90.00°
Sites, in units of the cell vectors:
Sm: 0.567 0.250 0.134
Sm: 0.433 0.750 0.866
Sm: 0.062 0.750 0.125
Sm: 0.938 0.250 0.875
Dy: 0.694 0.750 0.388
Dy: 0.306 0.250 0.612
Sb: 0.171 0.250 0.343
Sb: 0.829 0.750 0.657

Properties
Fermi-level density of states	8.17	states/eV/cell


# 7
First-principles (PBE) data for crystalline Sm3DySb4 at its relaxed geometry, as listed in the Alexandria database.

Cell: 4.452 7.707 7.707 Å, 109.48 90.00 90.00°
Sites, in units of the cell vectors:
Sm: 0.000 0.000 0.500
Sm: 0.500 0.500 0.500
Sm: 0.000 0.500 0.000
Dy: 0.500 0.000 0.000
Sb: 0.000 0.246 0.246
Sb: 0.500 0.752 0.248
Sb: 0.000 0.754 0.754
Sb: 0.500 0.248 0.752

Properties
Fermi-level density of states	1.06	states/eV/cell


# 8
First-principles (PBE) data for crystalline Sm8DySb6 at its relaxed geometry, as listed in the Alexandria database.

Cell: 8.100 8.100 9.743 Å, 65.44 65.44 60.00°
Sites, in units of the cell vectors:
Sm: 0.541 0.215 0.364
Sm: 0.785 0.120 0.636
Sm: 0.120 0.459 0.636
Sm: 0.667 0.667 0.000
Sm: 0.333 0.333 0.000
Sm: 0.880 0.541 0.364
Sm: 0.215 0.880 0.364
Sm: 0.459 0.785 0.636
Dy: 0.000 0.000 0.000
Sb: 0.395 0.067 0.801
Sb: 0.933 0.263 0.199
Sb: 0.263 0.605 0.199
Sb: 0.737 0.395 0.801
Sb: 0.067 0.737 0.801
Sb: 0.605 0.933 0.199

Properties
Fermi-level density of states	14.48	states/eV/cell


# 9
First-principles (PBE) data for crystalline SmDy3Sb3 at its relaxed geometry, as listed in the Alexandria database.

Cell: 9.050 9.050 8.065 Å, 55.87 55.87 60.00°
Sites, in units of the cell vectors:
Sm: 0.334 0.334 0.998
Sm: 0.666 0.666 0.002
Dy: 0.181 0.652 0.254
Dy: 0.913 0.181 0.254
Dy: 0.652 0.913 0.254
Dy: 0.348 0.087 0.746
Dy: 0.087 0.819 0.746
Dy: 0.819 0.348 0.746
Sb: 0.466 0.702 0.754
Sb: 0.702 0.078 0.754
Sb: 0.078 0.466 0.754
Sb: 0.922 0.534 0.246
Sb: 0.298 0.922 0.246
Sb: 0.534 0.298 0.246

Properties
Fermi-level density of states	8.81	states/eV/cell


# 10
First-principles (PBE) data for crystalline SmDy3Sb4 at its relaxed geometry, as listed in the Alexandria database.

Cell: 6.228 6.228 6.228 Å, 90.00 90.00 90.00°
Sites, in units of the cell vectors:
Sm: 0.000 0.000 0.000
Dy: 0.000 0.500 0.500
Dy: 0.500 0.000 0.500
Dy: 0.500 0.500 0.000
Sb: 0.500 0.000 0.000
Sb: 0.000 0.500 0.000
Sb: 0.000 0.000 0.500
Sb: 0.500 0.500 0.500

Properties
Fermi-level density of states	0.49	states/eV/cell


# 11
First-principles (PBE) data for crystalline Sm5Dy2Sb5 at its relaxed geometry, as listed in the Alexandria database.

Cell: 4.412 7.566 12.757 Å, 109.02 90.00 106.95°
Sites, in units of the cell vectors:
Sm: 0.500 0.000 0.500
Sm: 0.660 0.320 0.038
Sm: 0.726 0.451 0.346
Sm: 0.274 0.549 0.654
Sm: 0.340 0.680 0.962
Dy: 0.045 0.090 0.788
Dy: 0.955 0.910 0.212
Sb: 0.117 0.235 0.427
Sb: 0.691 0.383 0.790
Sb: 0.309 0.617 0.210
Sb: 0.883 0.765 0.573
Sb: 0.000 0.000 0.000

Properties
Fermi-level density of states	8.45	states/eV/cell


# 12
First-principles (PBE) data for crystalline Sm3Dy5Sb8 at its relaxed geometry, as listed in the Alexandria database.

Cell: 8.836 8.836 8.834 Å, 59.99 59.99 60.00°
Sites, in units of the cell vectors:
Sm: 0.500 0.000 0.500
Sm: 0.000 0.000 0.500
Sm: 0.000 0.500 0.500
Dy: 0.500 0.000 0.000
Dy: 0.500 0.500 0.000
Dy: 0.000 0.000 0.000
Dy: 0.000 0.500 0.000
Dy: 0.500 0.500 0.500
Sb: 0.250 0.250 0.754
Sb: 0.250 0.746 0.754
Sb: 0.746 0.250 0.754
Sb: 0.748 0.748 0.756
Sb: 0.750 0.750 0.246
Sb: 0.750 0.254 0.246
Sb: 0.254 0.750 0.246
Sb: 0.252 0.252 0.244

Properties
Fermi-level density of states	2.48	states/eV/cell


# 13
First-principles (PBE) data for crystalline Sm5Dy2Sb4 at its relaxed geometry, as listed in the Alexandria database.

Cell: 3.640 7.434 15.376 Å, 120.13 96.80 90.00°
Sites, in units of the cell vectors:
Sm: 0.091 0.874 0.182
Sm: 0.909 0.126 0.818
Sm: 0.140 0.443 0.280
Sm: 0.500 0.000 0.000
Sm: 0.860 0.557 0.720
Dy: 0.764 0.748 0.528
Dy: 0.236 0.252 0.472
Sb: 0.675 0.851 0.351
Sb: 0.968 0.612 0.936
Sb: 0.325 0.149 0.649
Sb: 0.032 0.388 0.064

Properties
Fermi-level density of states	12.71	states/eV/cell


# 14
First-principles (PBE) data for crystalline Sm5Dy3Sb8 at its relaxed geometry, as listed in the Alexandria database.

Cell: 8.880 8.880 8.878 Å, 59.99 59.99 60.00°
Sites, in units of the cell vectors:
Sm: 0.500 0.000 0.000
Sm: 0.500 0.500 0.000
Sm: 0.000 0.000 0.000
Sm: 0.000 0.500 0.000
Sm: 0.500 0.500 0.500
Dy: 0.500 0.000 0.500
Dy: 0.000 0.000 0.500
Dy: 0.000 0.500 0.500
Sb: 0.250 0.250 0.746
Sb: 0.250 0.754 0.746
Sb: 0.754 0.250 0.746
Sb: 0.752 0.752 0.744
Sb: 0.750 0.750 0.254
Sb: 0.750 0.246 0.254
Sb: 0.246 0.750 0.254
Sb: 0.248 0.248 0.256

Properties
Fermi-level density of states	2.34	states/eV/cell


# 15
First-principles (PBE) data for crystalline Sm2DySb2 at its relaxed geometry, as listed in the Alexandria database.

Cell: 6.327 8.546 7.945 Å, 122.54 113.46 90.00°
Sites, in units of the cell vectors:
Sm: 0.848 0.705 0.697
Sm: 0.152 0.295 0.303
Sm: 0.652 0.008 0.303
Sm: 0.348 0.992 0.697
Dy: 0.750 0.500 0.000
Dy: 0.250 0.500 0.000
Sb: 0.392 0.673 0.783
Sb: 0.608 0.327 0.217
Sb: 0.108 0.890 0.217
Sb: 0.892 0.110 0.783

Properties
Fermi-level density of states	7.59	states/eV/cell


# 16
First-principles (PBE) data for crystalline Sm3Dy4Sb4 at its relaxed geometry, as listed in the Alexandria database.

Cell: 4.134 9.220 9.971 Å, 117.54 101.96 90.00°
Sites, in units of the cell vectors:
Sm: 0.101 0.101 0.203
Sm: 0.899 0.899 0.797
Sm: 0.000 0.500 0.000
Dy: 0.330 0.145 0.660
Dy: 0.670 0.484 0.340
Dy: 0.670 0.855 0.340
Dy: 0.330 0.516 0.660
Sb: 0.260 0.760 0.521
Sb: 0.740 0.240 0.479
Sb: 0.500 0.791 0.000
Sb: 0.500 0.209 0.000

Properties
Fermi-level density of states	11.84	states/eV/cell


# 17
First-principles (PBE) data for crystalline SmDy3Sb3 at its relaxed geometry, as listed in the Alexandria database.

Cell: 9.246 9.246 9.246 Å, 90.00 90.00 90.00°
Sites, in units of the cell vectors:
Sm: 0.070 0.570 0.930
Sm: 0.930 0.070 0.570
Sm: 0.430 0.430 0.430
Sm: 0.570 0.930 0.070
Dy: 0.821 0.321 0.179
Dy: 0.926 0.926 0.926
Dy: 0.822 0.678 0.322
Dy: 0.179 0.821 0.321
Dy: 0.178 0.178 0.178
Dy: 0.322 0.822 0.678
Dy: 0.074 0.426 0.574
Dy: 0.321 0.179 0.821
Dy: 0.678 0.322 0.822
Dy: 0.679 0.679 0.679
Dy: 0.574 0.074 0.426
Dy: 0.426 0.574 0.074
Sb: 0.746 0.623 0.001
Sb: 0.877 0.999 0.246
Sb: 0.001 0.746 0.623
Sb: 0.123 0.499 0.254
Sb: 0.254 0.123 0.499
Sb: 0.246 0.877 0.999
Sb: 0.999 0.246 0.877
Sb: 0.377 0.501 0.754
Sb: 0.499 0.254 0.123
Sb: 0.623 0.001 0.746
Sb: 0.754 0.377 0.501
Sb: 0.501 0.754 0.377

Properties
Fermi-level density of states	26.88	states/eV/cell


# 18
First-principles (PBE) data for crystalline SmDySb at its relaxed geometry, as listed in the Alexandria database.

Cell: 4.088 5.082 5.082 Å, 120.00 90.00 90.00°
Sites, in units of the cell vectors:
Sb: 0.049 0.000 0.000
Sm: 0.713 0.333 0.667
Dy: 0.238 0.667 0.333

Properties
Fermi-level density of states	2.84	states/eV/cell


# 19
First-principles (PBE) data for crystalline SmDySb at its relaxed geometry, as listed in the Alexandria database.

Cell: 4.513 4.513 8.628 Å, 90.01 89.99 90.00°
Sites, in units of the cell vectors:
Sm: 0.251 0.749 0.647
Sm: 0.749 0.251 0.353
Dy: 0.750 0.750 0.000
Dy: 0.250 0.250 0.000
Sb: 0.751 0.249 0.725
Sb: 0.249 0.751 0.275

Properties
Fermi-level density of states	4.86	states/eV/cell


# 20
First-principles (PBE) data for crystalline Sm2Dy2Sb5 at its relaxed geometry, as listed in the Alexandria database.

Cell: 8.253 8.918 8.918 Å, 126.30 90.00 90.00°
Sites, in units of the cell vectors:
Sm: 0.000 0.809 0.191
Sm: 0.500 0.309 0.691
Sm: 0.000 0.191 0.809
Sm: 0.500 0.691 0.309
Dy: 0.339 0.157 0.157
Dy: 0.661 0.843 0.843
Dy: 0.839 0.343 0.343
Dy: 0.161 0.657 0.657
Sb: 0.000 0.000 0.000
Sb: 0.500 0.500 0.500
Sb: 0.144 0.218 0.493
Sb: 0.856 0.507 0.782
Sb: 0.644 0.007 0.282
Sb: 0.356 0.718 0.993
Sb: 0.856 0.782 0.507
Sb: 0.144 0.493 0.218
Sb: 0.356 0.993 0.718
Sb: 0.644 0.282 0.007

Properties
Fermi-level density of states	12.64	states/eV/cell


# 21
First-principles (PBE) data for crystalline Sm2DySb at its relaxed geometry, as listed in the Alexandria database.

Cell: 4.199 4.199 6.792 Å, 90.00 90.00 90.00°
Sites, in units of the cell vectors:
Sb: 0.500 0.500 0.000
Sm: 0.000 0.000 0.769
Sm: 0.000 0.000 0.231
Dy: 0.500 0.500 0.500

Properties
Fermi-level density of states	4.32	states/eV/cell


Number 1: formation energy from raw total energies -1.032 eV per atom. Number 2: formation energy from raw total energies -1.167 eV per atom. Number 3: formation energy from raw total energies -0.698 eV per atom. Number 4: formation energy from raw total energies -1.166 eV per atom. Number 5: formation energy from raw total energies -0.338 eV per atom. Number 6: formation energy from raw total energies -0.539 eV per atom. Number 7: formation energy from raw total energies -1.164 eV per atom. Number 8: formation energy from raw total energies -0.800 eV per atom. Number 9: formation energy from raw total energies -0.905 eV per atom. Number 10: formation energy from raw total energies -1.145 eV per atom. Number 11: formation energy from raw total energies -0.894 eV per atom. Number 12: formation energy from raw total energies -1.147 eV per atom. Number 13: formation energy from raw total energies -0.452 eV per atom. Number 14: formation energy from raw total energies -1.158 eV per atom. Number 15: formation energy from raw total energies -0.839 eV per atom. Number 16: formation energy from raw total energies -0.793 eV per atom. Number 17: formation energy from raw total energies -1.005 eV per atom. Number 18: formation energy from raw total energies -0.444 eV per atom. Number 19: formation energy from raw total energies -0.833 eV per atom. Number 20: formation energy from raw total energies -0.877 eV per atom. Number 21: formation energy from raw total energies -0.499 eV per atom.